This record from Alexandria describes crystalline Ca2ZrP at its relaxed geometry. The functional is PBE.

Structure (extended XYZ):
```
4
Lattice="-1.147 -3.815 1.158 3.894 -0.725 1.468 1.565 1.448 6.316" Properties=species:S:1:pos:R:3 pbc="T T T"
Ca 2.401 0.380 3.627
Ca 0.328 -0.018 0.265
P 0.791 -1.727 2.525
Zr 3.520 -1.365 6.417
```

Magnetization = 0.88 μB per cell
Energy relative to the elements = -0.162 eV per atom